No. 1
Entry from Alexandria via LeMat-Bulk: a relaxed structure of RbAgAu (PBE-GGA).

- DOS at the Fermi energy: 0.15 states/eV/atom
- Space-group type: Pm (6)

abc: 5.669 4.993 6.724
angles: 90.00 114.04 90.00
Fractional coordinates of all 6 atoms:
Rb 0.000 0.000 0.000
Rb 0.499 0.500 0.004
Ag 0.289 0.000 0.547
Ag 0.745 0.000 0.456
Au 0.016 0.500 0.499
Au 0.521 0.500 0.509

No. 2
Entry from Alexandria via LeMat-Bulk: a relaxed structure of RbAgAu (PBE-GGA).

- DOS at the Fermi energy: 0.19 states/eV/atom
- Space-group type: P1 (1)

abc: 5.154 5.155 8.027
angles: 98.26 98.41 105.13
Fractional coordinates of all 6 atoms:
Rb 0.000 0.000 0.000
Rb 0.120 0.122 0.442
Ag 0.340 0.551 0.854
Ag 0.570 0.782 0.588
Au 0.452 0.669 0.221
Au 0.757 0.364 0.721

No. 3
Entry from Alexandria via LeMat-Bulk: a relaxed structure of Rb12AgAu6 (PBE-GGA).

- DOS at the Fermi energy: 0.71 states/eV/atom
- Space-group type: Im-3 (204)

abc: 10.661 10.661 10.661
angles: 109.47 109.47 109.47
Fractional coordinates of all 19 atoms:
Rb 0.131 0.309 0.822
Rb 0.178 0.486 0.309
Rb 0.178 0.869 0.691
Rb 0.309 0.178 0.486
Rb 0.309 0.822 0.131
Rb 0.486 0.309 0.178
Rb 0.514 0.691 0.822
Rb 0.691 0.178 0.869
Rb 0.691 0.822 0.514
Rb 0.822 0.131 0.309
Rb 0.822 0.514 0.691
Rb 0.869 0.691 0.178
Ag 0.000 0.000 0.000
Au 0.118 0.500 0.618
Au 0.382 0.882 0.500
Au 0.500 0.382 0.882
Au 0.500 0.618 0.118
Au 0.618 0.118 0.500
Au 0.882 0.500 0.382

No. 4
Entry from Alexandria via LeMat-Bulk: a relaxed structure of RbAgAu3 (PBE-GGA).

- DOS at the Fermi energy: 0.31 states/eV/atom
- Space-group type: Cmcm (63)

abc: 7.455 7.455 9.829
angles: 90.00 90.00 95.29
Fractional coordinates of all 20 atoms:
Rb 0.067 0.933 0.750
Rb 0.346 0.654 0.250
Rb 0.654 0.346 0.750
Rb 0.933 0.067 0.250
Ag 0.000 0.500 0.000
Ag 0.000 0.500 0.500
Ag 0.500 0.000 0.000
Ag 0.500 0.000 0.500
Au 0.157 0.398 0.750
Au 0.282 0.282 0.000
Au 0.282 0.282 0.500
Au 0.347 0.653 0.583
Au 0.347 0.653 0.917
Au 0.398 0.157 0.250
Au 0.602 0.843 0.750
Au 0.653 0.347 0.083
Au 0.653 0.347 0.417
Au 0.718 0.718 0.000
Au 0.718 0.718 0.500
Au 0.843 0.602 0.250

No. 5
Entry from Alexandria via LeMat-Bulk: a relaxed structure of Rb6Ag2Au (PBE-GGA).

- DOS at the Fermi energy: 0.47 states/eV/atom
- Space-group type: Immm (71)

abc: 10.587 10.587 10.587
angles: 114.41 109.03 105.12
Fractional coordinates of all 18 atoms:
Rb 0.044 0.239 0.805
Rb 0.173 0.268 0.441
Rb 0.173 0.732 0.905
Rb 0.333 0.039 0.707
Rb 0.333 0.626 0.293
Rb 0.435 0.239 0.195
Rb 0.565 0.761 0.805
Rb 0.667 0.374 0.707
Rb 0.667 0.961 0.293
Rb 0.827 0.268 0.095
Rb 0.827 0.732 0.559
Rb 0.956 0.761 0.195
Ag 0.111 0.611 0.500
Ag 0.375 0.000 0.375
Ag 0.625 0.000 0.625
Ag 0.889 0.389 0.500
Au 0.000 0.000 0.000
Au 0.500 0.500 0.000

No. 6
Entry from Alexandria via LeMat-Bulk: a relaxed structure of Rb2AgAu (PBE-GGA).

- DOS at the Fermi energy: 0.12 states/eV/atom
- Space-group type: P2_1/m (11)

abc: 6.755 4.970 9.792
angles: 90.00 108.11 90.00
Fractional coordinates of all 8 atoms:
Rb 0.210 0.250 0.428
Rb 0.280 0.750 0.071
Rb 0.720 0.250 0.929
Rb 0.790 0.750 0.572
Ag 0.337 0.750 0.724
Ag 0.663 0.250 0.276
Au 0.162 0.250 0.781
Au 0.838 0.750 0.219

Raw total energy
In order: -2.476, -2.380, -1.961, -2.842, -1.653, -2.144
Unit: eV per atom
Calculated formation energy
In order: -111, -14, -165, -112, -10, -128
Unit: meV per atom